(1)
Here is crystalline TbHoEr4S8 at its relaxed geometry from Alexandria via LeMat-Bulk. Energies are from PBE.

The total magnetic moment is 0.003 μB/cell. For the total energy, the calculation gives -6.246 eV/atom.

It has space group R3m (No. 160, hexagonal axes), with a = 7.9935 Å, b = 7.9935 Å, c = 19.5985 Å, α = 90.00°, β = 90.00° and γ = 120.00°. The inequivalent atoms are Tb at (0.0000, 0.0000, 0.0000), Ho at (0.0000, 0.0000, 0.3751), Er at (0.0000, 0.0000, 0.7497), Er at (0.1670, 0.3340, 0.2081), S at (0.0000, 0.0000, 0.1338), S at (0.0000, 0.0000, 0.6174), S at (0.0187, 0.5093, 0.1277) and S at (0.1780, 0.3560, 0.9548).

(2)
Here is crystalline Tb4HoEr3S8 at its relaxed geometry from Alexandria via LeMat-Bulk. Energies are from PBE.

The total magnetic moment is 0.000 μB/cell. For the total energy, the calculation gives -6.344 eV/atom.

It has space group R-3m (No. 166, hexagonal axes), with a = 7.7884 Å, b = 7.7884 Å, c = 19.1503 Å, α = 90.00°, β = 90.00° and γ = 120.00°. The inequivalent atoms are Tb at (0.0000, 0.0000, 0.0000), Tb at (0.0000, 0.5000, 0.0000), Ho at (0.0000, 0.0000, 0.5000), Er at (0.0000, 0.5000, 0.5000), S at (0.0000, 0.0000, 0.2478) and S at (0.0009, 0.5005, 0.7520).

(3)
Here is crystalline TbHo3Er4S8 at its relaxed geometry from Alexandria via LeMat-Bulk. Energies are from PBE.

The total magnetic moment is 0.000 μB/cell. For the total energy, the calculation gives -6.316 eV/atom.

It has space group R-3m (No. 166, hexagonal axes), with a = 7.7576 Å, b = 7.7576 Å, c = 19.0182 Å, α = 90.00°, β = 90.00° and γ = 120.00°. The inequivalent atoms are Tb at (0.0000, 0.0000, 0.0000), Ho at (0.0000, 0.5000, 0.0000), Er at (0.0000, 0.0000, 0.5000), Er at (0.0000, 0.5000, 0.5000), S at (0.0000, 0.0000, 0.2493) and S at (0.0019, 0.5010, 0.2488).